No. 1
# GdTlPt GGA-PBE relaxed
# DFT total energy = -8.19 eV per atom
# DFT formation energy = -67.4 kJ/mol of atoms
data_GdTlPt
_cell_length_a 6.7808
_cell_length_b 6.7808
_cell_length_c 6.7808
_cell_angle_alpha 90.00
_cell_angle_beta 90.00
_cell_angle_gamma 90.00
_symmetry_space_group_name_H-M 'F -4 3 m'
_symmetry_Int_Tables_number 216
_symmetry_space_group_name_Hall 'F -4 2 3'
loop_
_atom_site_label
_atom_site_fract_x
_atom_site_fract_y
_atom_site_fract_z
Gd1 0.0000 0.0000 0.0000
Tl1 0.0000 0.0000 0.5000
Pt1 0.2500 0.2500 0.2500

***

No. 2
# GdTlPt GGA-PBE relaxed
# DFT total energy = -8.12 eV per atom
# DFT formation energy = -59.8 kJ/mol of atoms
data_GdTlPt
_cell_length_a 3.7755
_cell_length_b 3.7755
_cell_length_c 9.8244
_cell_angle_alpha 90.00
_cell_angle_beta 90.00
_cell_angle_gamma 90.00
_symmetry_space_group_name_H-M 'I 4 m m'
_symmetry_Int_Tables_number 107
_symmetry_space_group_name_Hall 'I 4 -2'
loop_
_atom_site_label
_atom_site_fract_x
_atom_site_fract_y
_atom_site_fract_z
Gd1 0.0000 0.0000 0.0000
Tl1 0.0000 0.0000 0.6908
Pt1 0.0000 0.0000 0.3623